No. 1
Entry from Alexandria via LeMat-Bulk: a relaxed LaYW2 crystal (PBE-GGA).

a = 2.936 Å, b = 4.976 Å, c = 6.399 Å
α = 90.00°, β = 90.00°, γ = 90.00°
Sites, in units of the cell vectors:
La 0.000 0.000 0.000
Y 0.000 0.000 0.500
W 0.500 0.500 0.303
W 0.500 0.500 0.697

Values from the calculation:
formation enthalpy at 0 K	0.755	eV/atom
crystal system	orthorhombic
energy above the most stable polymorph in this dataset	466	meV/atom

=====

No. 2
Entry from Alexandria via LeMat-Bulk: a relaxed Ce3BeTl3Se8 crystal (PBE-GGA).

a = 8.402 Å, b = 8.402 Å, c = 9.170 Å
α = 118.00°, β = 118.00°, γ = 58.76°
Sites, in units of the cell vectors:
Ce 0.000 0.000 0.000
Ce 0.000 0.500 0.000
Ce 0.500 0.000 0.000
Be 0.500 0.500 0.000
Tl 0.000 0.500 0.500
Tl 0.500 0.000 0.500
Tl 0.500 0.500 0.500
Se 0.236 0.236 0.212
Se 0.239 0.239 0.778
Se 0.273 0.697 0.174
Se 0.303 0.727 0.826
Se 0.697 0.273 0.174
Se 0.727 0.303 0.826
Se 0.761 0.761 0.222
Se 0.764 0.764 0.788

Values from the calculation:
VASP energy	-4.845	eV/atom
crystal system	monoclinic

=====

Number 1: DOS(E_F) 3.5 states/eV per cell, magnetic moment 0.000 μB/atom. Number 2: DOS(E_F) 10.4 states/eV per cell, magnetic moment 0.074 μB/atom.